1) # Er2HgH, optimized geometry, DFT PBE
data_Er2HgH
_chemical_formula_sum 'Er4 Hg2 H2'
_cell_length_a 6.345
_cell_length_b 3.657
_cell_length_c 7.456
_cell_angle_alpha 90.00
_cell_angle_beta 90.08
_cell_angle_gamma 90.00
_symmetry_space_group_name_H-M 'C 1 m 1'
_symmetry_Int_Tables_number 8
loop_
_symmetry_equiv_pos_as_xyz
'x,y,z'
'x,-y,z'
'x+1/2,y+1/2,z'
'x+1/2,-y+1/2,z'
loop_
_atom_site_label
_atom_site_type_symbol
_atom_site_fract_x
_atom_site_fract_y
_atom_site_fract_z
Er1 Er 0.000 0.000 0.000
Er2 Er 0.167 0.500 0.631
Hg1 Hg 0.333 0.000 0.315
H1 H 0.000 0.000 0.704
# calculated volume = 173.0 Å³ per cell
# crystal system = monoclinic

2) # Er2HgH, optimized geometry, DFT PBE
data_Er2HgH
_chemical_formula_sum 'Er6 Hg3 H3'
_cell_length_a 3.6026
_cell_length_b 3.6026
_cell_length_c 22.3687
_cell_angle_alpha 90.00
_cell_angle_beta 90.00
_cell_angle_gamma 120.00
_symmetry_space_group_name_H-M 'R -3 m'
_symmetry_Int_Tables_number 166
_symmetry_space_group_name_Hall '-R 3 2"'
loop_
_atom_site_label
_atom_site_type_symbol
_atom_site_fract_x
_atom_site_fract_y
_atom_site_fract_z
Er1 Er 0.0000 0.0000 0.2267
Hg1 Hg 0.0000 0.0000 0.0000
H1 H 0.0000 0.0000 0.5000
# calculated volume = 251.4 Å³ per cell
# crystal system = trigonal

Stability summary: most stable 1), least stable 2).

1) # Er3HgH, optimized geometry, DFT PBE
data_Er3HgH
_chemical_formula_sum 'Er3 Hg1 H1'
_cell_length_a 4.771
_cell_length_b 4.771
_cell_length_c 4.771
_cell_angle_alpha 90.00
_cell_angle_beta 90.00
_cell_angle_gamma 90.00
_symmetry_space_group_name_H-M 'P m -3 m'
_symmetry_Int_Tables_number 221
_symmetry_space_group_name_Hall '-P 4 2 3'
loop_
_atom_site_label
_atom_site_type_symbol
_atom_site_fract_x
_atom_site_fract_y
_atom_site_fract_z
Er1 Er 0.000 0.000 0.500
Hg1 Hg 0.500 0.500 0.500
H1 H 0.000 0.000 0.000
# calculated volume = 108.6 Å³ per cell
# crystal system = cubic

2) # Er3HgH, optimized geometry, DFT PBE
data_Er3HgH
_chemical_formula_sum 'Er6 Hg2 H2'
_cell_length_a 6.602
_cell_length_b 3.531
_cell_length_c 9.898
_cell_angle_alpha 90.00
_cell_angle_beta 99.26
_cell_angle_gamma 90.00
_symmetry_space_group_name_H-M 'P 1 21/m 1'
_symmetry_Int_Tables_number 11
loop_
_symmetry_equiv_pos_as_xyz
'x,y,z'
'-x,-y,-z'
'-x,y+1/2,-z'
'x,-y+1/2,z'
loop_
_atom_site_label
_atom_site_type_symbol
_atom_site_fract_x
_atom_site_fract_y
_atom_site_fract_z
Er1 Er 0.082 0.250 0.362
Er2 Er 0.230 0.250 0.912
Er3 Er 0.398 0.750 0.632
Hg1 Hg 0.297 0.750 0.170
H1 H 0.173 0.250 0.678
# calculated volume = 227.7 Å³ per cell
# crystal system = monoclinic

Stability summary: most stable 2), least stable 1).

1) # HoErH2, optimized geometry, DFT PBE
data_HoErH2
_chemical_formula_sum 'Ho3 Er3 H6'
_cell_length_a 3.4611
_cell_length_b 3.4611
_cell_length_c 17.3770
_cell_angle_alpha 90.00
_cell_angle_beta 90.00
_cell_angle_gamma 120.00
_symmetry_space_group_name_H-M 'R 3 m'
_symmetry_Int_Tables_number 160
_symmetry_space_group_name_Hall 'R 3 -2"'
loop_
_atom_site_label
_atom_site_type_symbol
_atom_site_fract_x
_atom_site_fract_y
_atom_site_fract_z
Ho1 Ho 0.0000 0.0000 0.0000
Er1 Er 0.0000 0.0000 0.8196
H1 H 0.0000 0.0000 0.4083
H2 H 0.0000 0.0000 0.5851
# calculated volume = 180.3 Å³ per cell
# crystal system = trigonal

2) # HoErH2, optimized geometry, DFT PBE
data_HoErH2
_chemical_formula_sum 'Ho3 Er3 H6'
_cell_length_a 3.6128
_cell_length_b 3.6128
_cell_length_c 17.4355
_cell_angle_alpha 90.00
_cell_angle_beta 90.00
_cell_angle_gamma 120.00
_symmetry_space_group_name_H-M 'R -3 m'
_symmetry_Int_Tables_number 166
_symmetry_space_group_name_Hall '-R 3 2"'
loop_
_atom_site_label
_atom_site_type_symbol
_atom_site_fract_x
_atom_site_fract_y
_atom_site_fract_z
Ho1 Ho 0.0000 0.0000 0.0000
Er1 Er 0.0000 0.0000 0.5000
H1 H 0.0000 0.0000 0.3743
# calculated volume = 197.1 Å³ per cell
# crystal system = trigonal

Stability summary: most stable 2), least stable 1).

1) # ErHIr, optimized geometry, DFT PBE
data_ErHIr
_chemical_formula_sum 'Er1 H1 Ir1'
_cell_length_a 3.8898
_cell_length_b 3.8898
_cell_length_c 3.4604
_cell_angle_alpha 90.00
_cell_angle_beta 90.00
_cell_angle_gamma 120.00
_symmetry_space_group_name_H-M 'P -6 m 2'
_symmetry_Int_Tables_number 187
_symmetry_space_group_name_Hall 'P -6 2'
loop_
_atom_site_label
_atom_site_type_symbol
_atom_site_fract_x
_atom_site_fract_y
_atom_site_fract_z
Er1 Er 0.0000 0.0000 0.0000
H1 H 0.3333 0.6667 0.5000
Ir1 Ir 0.6667 0.3333 0.5000
# calculated volume = 45.3 Å³ per cell
# crystal system = hexagonal

2) # ErHIr, optimized geometry, DFT PBE
data_ErHIr
_chemical_formula_sum 'Er2 H2 Ir2'
_cell_length_a 4.021
_cell_length_b 3.953
_cell_length_c 6.849
_cell_angle_alpha 90.00
_cell_angle_beta 90.70
_cell_angle_gamma 90.00
_symmetry_space_group_name_H-M 'P 1 21/m 1'
_symmetry_Int_Tables_number 11
loop_
_symmetry_equiv_pos_as_xyz
'x,y,z'
'-x,-y,-z'
'-x,y+1/2,-z'
'x,-y+1/2,z'
loop_
_atom_site_label
_atom_site_type_symbol
_atom_site_fract_x
_atom_site_fract_y
_atom_site_fract_z
Er1 Er 0.246 0.250 0.296
H1 H 0.194 0.250 0.963
Ir1 Ir 0.260 0.750 0.999
# calculated volume = 108.9 Å³ per cell
# crystal system = monoclinic

Stability summary: most stable 1), least stable 2).

1) # Er2HIr, optimized geometry, DFT PBE
data_Er2HIr
_chemical_formula_sum 'Er8 H4 Ir4'
_cell_length_a 13.647
_cell_length_b 3.655
_cell_length_c 6.718
_cell_angle_alpha 90.00
_cell_angle_beta 113.20
_cell_angle_gamma 90.00
_symmetry_space_group_name_H-M 'C 1 2/m 1'
_symmetry_Int_Tables_number 12
loop_
_symmetry_equiv_pos_as_xyz
'x,y,z'
'-x,-y,-z'
'-x,y,-z'
'x,-y,z'
'x+1/2,y+1/2,z'
'-x+1/2,-y+1/2,-z'
'-x+1/2,y+1/2,-z'
'x+1/2,-y+1/2,z'
loop_
_atom_site_label
_atom_site_type_symbol
_atom_site_fract_x
_atom_site_fract_y
_atom_site_fract_z
Er1 Er 0.014 0.000 0.256
Er2 Er 0.213 0.500 0.752
H1 H 0.109 0.000 0.602
Ir1 Ir 0.118 0.500 0.068
# calculated volume = 308.0 Å³ per cell
# crystal system = monoclinic

2) # Er2HIr, optimized geometry, DFT PBE
data_Er2HIr
_chemical_formula_sum 'Er6 H3 Ir3'
_cell_length_a 4.1217
_cell_length_b 4.1217
_cell_length_c 21.0267
_cell_angle_alpha 90.00
_cell_angle_beta 90.00
_cell_angle_gamma 120.00
_symmetry_space_group_name_H-M 'R -3 m'
_symmetry_Int_Tables_number 166
_symmetry_space_group_name_Hall '-R 3 2"'
loop_
_atom_site_label
_atom_site_type_symbol
_atom_site_fract_x
_atom_site_fract_y
_atom_site_fract_z
Er1 Er 0.0000 0.0000 0.1013
H1 H 0.0000 0.0000 0.0000
Ir1 Ir 0.0000 0.0000 0.5000
# calculated volume = 309.4 Å³ per cell
# crystal system = trigonal

Stability summary: most stable 1), least stable 2).

1) # La2ErH, optimized geometry, DFT PBE
data_La2ErH
_chemical_formula_sum 'La6 Er3 H3'
_cell_length_a 3.6954
_cell_length_b 3.6954
_cell_length_c 26.7513
_cell_angle_alpha 90.00
_cell_angle_beta 90.00
_cell_angle_gamma 120.00
_symmetry_space_group_name_H-M 'R 3 m'
_symmetry_Int_Tables_number 160
_symmetry_space_group_name_Hall 'R 3 -2"'
loop_
_atom_site_label
_atom_site_type_symbol
_atom_site_fract_x
_atom_site_fract_y
_atom_site_fract_z
La1 La 0.0000 0.0000 0.0000
La2 La 0.0000 0.0000 0.2193
Er1 Er 0.0000 0.0000 0.7751
H1 H 0.0000 0.0000 0.6084
# calculated volume = 316.4 Å³ per cell
# crystal system = trigonal

2) # La2ErH, optimized geometry, DFT PBE
data_La2ErH
_chemical_formula_sum 'La6 Er3 H3'
_cell_length_a 3.6968
_cell_length_b 3.6968
_cell_length_c 26.9663
_cell_angle_alpha 90.00
_cell_angle_beta 90.00
_cell_angle_gamma 120.00
_symmetry_space_group_name_H-M 'R -3 m'
_symmetry_Int_Tables_number 166
_symmetry_space_group_name_Hall '-R 3 2"'
loop_
_atom_site_label
_atom_site_type_symbol
_atom_site_fract_x
_atom_site_fract_y
_atom_site_fract_z
La1 La 0.0000 0.0000 0.2238
Er1 Er 0.0000 0.0000 0.0000
H1 H 0.0000 0.0000 0.5000
# calculated volume = 319.2 Å³ per cell
# crystal system = trigonal

Stability summary: most stable 1), least stable 2).

1) # LaEr2H, optimized geometry, DFT PBE
data_LaEr2H
_chemical_formula_sum 'La1 Er2 H1'
_cell_length_a 3.354
_cell_length_b 3.354
_cell_length_c 8.688
_cell_angle_alpha 90.00
_cell_angle_beta 90.00
_cell_angle_gamma 90.00
_symmetry_space_group_name_H-M 'P 4/m m m'
_symmetry_Int_Tables_number 123
_symmetry_space_group_name_Hall '-P 4 2'
loop_
_atom_site_label
_atom_site_type_symbol
_atom_site_fract_x
_atom_site_fract_y
_atom_site_fract_z
La1 La 0.000 0.000 0.000
Er1 Er 0.500 0.500 0.316
H1 H 0.000 0.000 0.500
# calculated volume = 97.8 Å³ per cell
# crystal system = tetragonal

2) # LaEr2H, optimized geometry, DFT PBE
data_LaEr2H
_chemical_formula_sum 'La3 Er6 H3'
_cell_length_a 3.4691
_cell_length_b 3.4691
_cell_length_c 28.6263
_cell_angle_alpha 90.00
_cell_angle_beta 90.00
_cell_angle_gamma 120.00
_symmetry_space_group_name_H-M 'R -3 m'
_symmetry_Int_Tables_number 166
_symmetry_space_group_name_Hall '-R 3 2"'
loop_
_atom_site_label
_atom_site_type_symbol
_atom_site_fract_x
_atom_site_fract_y
_atom_site_fract_z
La1 La 0.0000 0.0000 0.0000
Er1 Er 0.0000 0.0000 0.1207
H1 H 0.0000 0.0000 0.5000
# calculated volume = 298.4 Å³ per cell
# crystal system = trigonal

Stability summary: most stable 2), least stable 1).

1) # LaErH2, optimized geometry, DFT PBE
data_LaErH2
_chemical_formula_sum 'La3 Er3 H6'
_cell_length_a 3.5624
_cell_length_b 3.5624
_cell_length_c 17.5804
_cell_angle_alpha 90.00
_cell_angle_beta 90.00
_cell_angle_gamma 120.00
_symmetry_space_group_name_H-M 'R -3 m'
_symmetry_Int_Tables_number 166
_symmetry_space_group_name_Hall '-R 3 2"'
loop_
_atom_site_label
_atom_site_type_symbol
_atom_site_fract_x
_atom_site_fract_y
_atom_site_fract_z
La1 La 0.0000 0.0000 0.0000
Er1 Er 0.0000 0.0000 0.5000
H1 H 0.0000 0.0000 0.2410
# calculated volume = 193.2 Å³ per cell
# crystal system = trigonal

2) # LaErH2, optimized geometry, DFT PBE
data_LaErH2
_chemical_formula_sum 'La3 Er3 H6'
_cell_length_a 3.5241
_cell_length_b 3.5241
_cell_length_c 18.3046
_cell_angle_alpha 90.00
_cell_angle_beta 90.00
_cell_angle_gamma 120.00
_symmetry_space_group_name_H-M 'R 3 m'
_symmetry_Int_Tables_number 160
_symmetry_space_group_name_Hall 'R 3 -2"'
loop_
_atom_site_label
_atom_site_type_symbol
_atom_site_fract_x
_atom_site_fract_y
_atom_site_fract_z
La1 La 0.0000 0.0000 0.0000
Er1 Er 0.0000 0.0000 0.1760
H1 H 0.0000 0.0000 0.5748
H2 H 0.0000 0.0000 0.7808
# calculated volume = 196.9 Å³ per cell
# crystal system = trigonal

Stability summary: most stable 1), least stable 2).